! CsGa3Hg | the Alexandria database | PBE-GGA | relaxed; values from VASP
! magnetic moment: 0.00 μB per atom
! SG: Pm-3m
! energy above the most stable polymorph in this dataset: 0.783 eV per atom
! theoretical density: 3.40 g/cm³
! ΔH_f (0 K): 1109 meV/atom
&SYSTEM
  ibrav = 0, nat = 5, ntyp = 3
/
ATOMIC_SPECIES
Ga 69.72 Ga.upf
Cs 132.91 Cs.upf
Hg 200.59 Hg.upf
CELL_PARAMETERS angstrom
-2.903 -5.294 2.200
3.307 -3.560 -4.205
4.683 -0.768 4.333
ATOMIC_POSITIONS crystal
Ga 0.000 0.000 0.500
Cs 0.000 0.000 0.000
Ga 0.000 0.500 0.000
Hg 0.500 0.500 0.500
Ga 0.500 0.000 0.000



! CsGaHg4 | the Alexandria database | PBE-GGA | relaxed; values from VASP
! magnetic moment: 0.00 μB per atom
! SG: F-43m
! energy above the most stable polymorph in this dataset: 0.118 eV per atom
! theoretical density: 8.82 g/cm³
! ΔH_f (0 K): -9 meV/atom
&SYSTEM
  ibrav = 0, nat = 6, ntyp = 3
/
ATOMIC_SPECIES
Ga 69.72 Ga.upf
Hg 200.59 Hg.upf
Cs 132.91 Cs.upf
CELL_PARAMETERS angstrom
-3.661 -4.610 -2.620
-3.891 -3.533 3.729
-6.387 0.774 -0.363
ATOMIC_POSITIONS crystal
Ga 0.000 0.000 0.000
Hg 0.626 0.626 0.121
Hg 0.626 0.121 0.626
Cs 0.250 0.250 0.250
Hg 0.626 0.626 0.626
Hg 0.121 0.626 0.626



! CsGaHg4 | the Alexandria database | PBE-GGA | relaxed; values from VASP
! magnetic moment: 0.00 μB per atom
! SG: C2/m
! energy above the most stable polymorph in this dataset: 0.000 eV per atom
! theoretical density: 8.31 g/cm³
! ΔH_f (0 K): -126 meV/atom
&SYSTEM
  ibrav = 0, nat = 12, ntyp = 3
/
ATOMIC_SPECIES
Cs 132.91 Cs.upf
Hg 200.59 Hg.upf
Ga 69.72 Ga.upf
CELL_PARAMETERS angstrom
-2.876 4.381 -1.490
-6.166 -2.640 4.140
7.229 4.308 6.009
ATOMIC_POSITIONS crystal
Cs 0.146 0.214 0.428
Hg 0.261 0.643 0.286
Hg 0.555 0.289 0.191
Hg 0.555 0.902 0.191
Hg 0.445 0.098 0.809
Cs 0.854 0.786 0.572
Hg 0.445 0.711 0.809
Ga 0.238 0.457 0.915
Hg 0.739 0.357 0.714
Ga 0.762 0.543 0.085
Hg 0.000 0.187 0.000
Hg 0.000 0.813 0.000



! CsGaHg | the Alexandria database | PBE-GGA | relaxed; values from VASP
! magnetic moment: 0.00 μB per atom
! SG: P2_1/m
! energy above the most stable polymorph in this dataset: 0.000 eV per atom
! theoretical density: 5.83 g/cm³
! ΔH_f (0 K): -114 meV/atom
&SYSTEM
  ibrav = 0, nat = 6, ntyp = 3
/
ATOMIC_SPECIES
Ga 69.72 Ga.upf
Cs 132.91 Cs.upf
Hg 200.59 Hg.upf
CELL_PARAMETERS angstrom
4.725 -0.093 0.013
0.099 5.112 -0.028
-0.050 -1.274 9.511
ATOMIC_POSITIONS crystal
Ga 0.812 0.963 0.551
Cs 0.812 0.290 0.923
Hg 0.812 0.440 0.436
Hg 0.312 0.718 0.737
Cs 0.312 0.867 0.251
Ga 0.312 0.195 0.622



! Cs3Ga2Hg4 | the Alexandria database | PBE-GGA | relaxed; values from VASP
! magnetic moment: 0.00 μB per atom
! SG: C2/c
! theoretical density: 5.88 g/cm³
! ΔH_f (0 K): -149 meV/atom
&SYSTEM
  ibrav = 0, nat = 18, ntyp = 3
/
ATOMIC_SPECIES
Hg 200.59 Hg.upf
Cs 132.91 Cs.upf
Ga 69.72 Ga.upf
CELL_PARAMETERS angstrom
8.144 0.509 0.365
1.063 9.960 0.004
1.063 3.213 9.428
ATOMIC_POSITIONS crystal
Hg 0.849 0.747 0.678
Hg 0.893 0.308 0.935
Hg 0.107 0.692 0.065
Cs 0.583 0.741 0.031
Hg 0.349 0.678 0.747
Hg 0.651 0.322 0.253
Ga 0.061 0.550 0.853
Cs 0.083 0.031 0.741
Cs 0.417 0.259 0.969
Cs 0.250 0.548 0.452
Ga 0.561 0.853 0.550
Ga 0.439 0.147 0.450
Hg 0.151 0.253 0.322
Ga 0.939 0.450 0.147
Cs 0.917 0.969 0.259
Cs 0.750 0.452 0.548
Hg 0.393 0.935 0.308
Hg 0.607 0.065 0.692



! CsGa2Hg2 | the Alexandria database | PBE-GGA | relaxed; values from VASP
! magnetic moment: 0.00 μB per atom
! SG: P4/mbm
! energy above the most stable polymorph in this dataset: 0.137 eV per atom
! theoretical density: 7.61 g/cm³
! ΔH_f (0 K): 60 meV/atom
&SYSTEM
  ibrav = 0, nat = 10, ntyp = 3
/
ATOMIC_SPECIES
Cs 132.91 Cs.upf
Ga 69.72 Ga.upf
Hg 200.59 Hg.upf
CELL_PARAMETERS angstrom
-1.574 -1.217 9.107
9.162 -0.910 1.462
0.253 3.338 0.490
ATOMIC_POSITIONS crystal
Cs 0.500 0.500 0.000
Ga 0.360 0.860 0.500
Hg 0.139 0.639 0.000
Ga 0.640 0.140 0.500
Cs 0.000 0.000 0.000
Hg 0.639 0.861 0.000
Hg 0.361 0.139 0.000
Ga 0.860 0.640 0.500
Hg 0.861 0.361 0.000
Ga 0.140 0.360 0.500



! CsGaHg | the Alexandria database | PBE-GGA | relaxed; values from VASP
! magnetic moment: 0.00 μB per atom
! SG: P-6m2
! energy above the most stable polymorph in this dataset: 0.052 eV per atom
! theoretical density: 5.66 g/cm³
! ΔH_f (0 K): -62 meV/atom
&SYSTEM
  ibrav = 0, nat = 3, ntyp = 3
/
ATOMIC_SPECIES
Hg 200.59 Hg.upf
Ga 69.72 Ga.upf
Cs 132.91 Cs.upf
CELL_PARAMETERS angstrom
5.903 0.000 0.000
0.000 4.812 0.000
0.000 -2.406 4.167
ATOMIC_POSITIONS crystal
Hg 0.167 0.000 0.000
Ga 0.167 0.667 0.333
Cs 0.667 0.333 0.667



! CsGaHgI4 | the Alexandria database | PBE-GGA | relaxed; values from VASP
! magnetic moment: 0.00 μB per atom
! SG: P2_1/m
! E_form (uncorrected): -0.76 eV per atom
! theoretical density: 4.12 g/cm³
&SYSTEM
  ibrav = 0, nat = 14, ntyp = 4
/
ATOMIC_SPECIES
Ga 69.72 Ga.upf
Hg 200.59 Hg.upf
Cs 132.91 Cs.upf
I 126.90 I.upf
CELL_PARAMETERS angstrom
-5.058 1.157 -7.734
-4.890 -6.535 2.221
-4.249 5.479 6.768
ATOMIC_POSITIONS crystal
Ga 0.189 0.750 0.290
Hg 0.333 0.250 0.073
Cs 0.734 0.750 0.416
I 0.019 0.998 0.253
I 0.981 0.498 0.747
Ga 0.811 0.250 0.710
I 0.647 0.250 0.885
I 0.359 0.750 0.555
Hg 0.667 0.750 0.927
Cs 0.266 0.250 0.584
I 0.981 0.002 0.747
I 0.019 0.502 0.253
I 0.641 0.250 0.445
I 0.353 0.750 0.115